# RbNa2SrGa

A relaxed RbNa2SrGa crystal (GGA-PBE, Alexandria).

Calculated values
DOS(E_F) = 3.58 states/eV per cell
E_form = 0.05 eV/atom

POSCAR file:
```
RbNa2SrGa
1.0
6.1557 0.0000 0.0000
0.0000 6.1557 0.0000
0.0000 0.0000 6.1518
Rb Ga Sr Na
1 1 1 2
Direct
0.5000 0.5000 0.5000
0.0000 0.0000 0.0000
0.0000 0.0000 0.5000
0.5000 0.0000 0.0000
0.0000 0.5000 0.0000
```

# Rb2NaGa2Te4

A relaxed Rb2NaGa2Te4 crystal (GGA-PBE, Alexandria).

Calculated values
DOS(E_F) = 0.58 states/eV per cell
E = -3.1298 eV per atom

POSCAR file:
```
Rb2NaGa2Te4
1.0
4.7977 0.0000 0.0000
-2.3989 8.7438 0.1167
0.0000 -2.8875 7.9811
Rb Te Na Ga
2 4 1 2
Direct
0.1219 0.2437 0.5413
0.8781 0.7563 0.4587
0.5281 0.0562 0.7602
0.4719 0.9438 0.2398
0.2079 0.4158 0.1645
0.7921 0.5842 0.8355
0.0000 0.0000 0.0000
0.3294 0.6587 0.0138
0.6706 0.3413 0.9862
```

# RbNaGa2Te

A relaxed RbNaGa2Te crystal (GGA-PBE, Alexandria).

Calculated values
DOS(E_F) = 2.53 states/eV per cell
E = -2.1070 eV per atom

POSCAR file:
```
RbNaGa2Te
1.0
6.0111 0.0000 0.0000
0.0000 6.7915 0.0000
0.0000 0.0000 6.0111
Rb Ga Te Na
1 2 1 1
Direct
0.0000 0.5000 0.0000
0.5000 0.0000 0.0000
0.0000 0.0000 0.5000
0.0000 0.0000 0.0000
0.5000 0.5000 0.5000
```

# RbNaGa2W

A relaxed RbNaGa2W crystal (GGA-PBE, Alexandria).

Calculated values
DOS(E_F) = 2.95 states/eV per cell
E_form = 0.60 eV/atom

POSCAR file:
```
RbNaGa2W
1.0
5.0471 0.0000 0.0000
0.0000 5.8602 0.0000
0.0000 0.0000 5.0471
W Ga Rb Na
1 2 1 1
Direct
0.0000 0.0000 0.0000
0.0000 0.0000 0.5000
0.5000 0.0000 0.0000
0.5000 0.5000 0.5000
0.0000 0.5000 0.0000
```

# RbNaZn2Ga

A relaxed RbNaZn2Ga crystal (GGA-PBE, Alexandria).

Calculated values
DOS(E_F) = 0.84 states/eV per cell
E_form = 0.09 eV/atom

POSCAR file:
```
RbNaZn2Ga
1.0
-1.6263 -3.8542 -2.9764
4.5347 -2.3423 0.5555
-1.9706 -2.7234 4.6032
Ga Rb Zn Na
1 1 2 1
Direct
0.0000 0.0000 0.0000
0.5000 0.5000 0.5000
0.0000 0.5000 0.0000
0.5000 0.0000 0.0000
0.0000 0.0000 0.5000
```

# NaGaRe2

A relaxed NaGaRe2 crystal (GGA-PBE, Alexandria).

Calculated values
DOS(E_F) = 4.75 states/eV per cell
E_form = 0.88 eV/atom

POSCAR file:
```
NaGaRe2
1.0
3.8396 0.0000 0.0000
0.0000 3.8396 0.0000
1.9198 1.9198 9.7879
Ga Re Na
2 4 2
Direct
0.7500 0.2500 0.5000
0.0000 0.0000 0.0000
0.0679 0.6250 0.2500
0.8750 0.9321 0.7500
0.6821 0.1250 0.2500
0.3750 0.3179 0.7500
0.5000 0.5000 0.0000
0.2500 0.7500 0.5000
```

# NaGa2Re2

A relaxed NaGa2Re2 crystal (GGA-PBE, Alexandria).

Calculated values
DOS(E_F) = 4.81 states/eV per cell
E_form = 0.26 eV/atom

POSCAR file:
```
NaGa2Re2
1.0
-1.1934 1.0207 -7.7740
-6.1215 -5.0350 0.2786
-1.6970 2.0928 0.5353
Na Re Ga
2 4 4
Direct
0.5000 0.5000 0.0000
0.0000 0.0000 0.0000
0.1072 0.6072 0.5000
0.3928 0.1072 0.5000
0.8928 0.3928 0.5000
0.6072 0.8928 0.5000
0.8165 0.6835 0.0000
0.6835 0.1835 0.0000
0.1835 0.3165 0.0000
0.3165 0.8165 0.0000
```

# NaGa3Re

A relaxed NaGa3Re crystal (GGA-PBE, Alexandria).

Calculated values
DOS(E_F) = 2.24 states/eV per cell
E_form = -0.01 eV/atom
Energy relative to the lowest polymorph listed for this composition = 0 meV per atom

POSCAR file:
```
NaGa3Re
1.0
4.8791 0.0000 0.0000
0.0000 4.8791 0.0000
0.0000 0.0000 4.8791
Ga Na Re
3 1 1
Direct
0.0000 0.5000 0.0000
0.5000 0.0000 0.0000
0.0000 0.0000 0.5000
0.5000 0.5000 0.5000
0.0000 0.0000 0.0000
```

# Na2GaRe

A relaxed Na2GaRe crystal (GGA-PBE, Alexandria).

Calculated values
DOS(E_F) = 8.64 states/eV per cell
E_form = 1.09 eV/atom

POSCAR file:
```
Na2GaRe
1.0
8.2102 0.0000 0.0000
0.0000 8.2102 0.0000
4.1051 4.1051 2.5573
Na Re Ga
4 2 2
Direct
0.1420 0.6250 0.2500
0.8750 0.8580 0.7500
0.6080 0.1250 0.2500
0.3750 0.3920 0.7500
0.7500 0.2500 0.5000
0.0000 0.0000 0.0000
0.5000 0.5000 0.0000
0.2500 0.7500 0.5000
```

# NaGaRe2Tc

A relaxed NaGaRe2Tc crystal (GGA-PBE, Alexandria).

Calculated values
DOS(E_F) = 5.00 states/eV per cell
E_form = 1.41 eV/atom

POSCAR file:
```
NaGaRe2Tc
1.0
4.7597 0.0000 0.0000
0.0000 4.9005 0.0000
0.0000 0.0000 4.7597
Tc Re Ga Na
1 2 1 1
Direct
0.0000 0.0000 0.0000
0.0000 0.0000 0.5000
0.5000 0.0000 0.0000
0.0000 0.5000 0.0000
0.5000 0.5000 0.5000
```

# NaVGaReW

A relaxed NaVGaReW crystal (GGA-PBE, Alexandria).

Calculated values
DOS(E_F) = 3.46 states/eV per cell
E_form = 0.39 eV/atom
Energy relative to the lowest polymorph listed for this composition = 113 meV per atom

POSCAR file:
```
NaVGaReW
1.0
-1.1308 1.2521 2.0556
-0.4805 -4.1122 3.3531
5.0871 2.0407 3.2371
Re Ga Na W V
1 1 1 1 1
Direct
0.9005 0.0882 0.9206
0.2821 0.3807 0.6225
0.6756 0.8634 0.4492
0.9808 0.3477 0.2345
0.3932 0.6433 0.9594
```

# NaVGaReW

A relaxed NaVGaReW crystal (GGA-PBE, Alexandria).

Calculated values
DOS(E_F) = 7.28 states/eV per cell
E_form = 0.28 eV/atom
Energy relative to the lowest polymorph listed for this composition = 0 meV per atom

POSCAR file:
```
NaVGaReW
1.0
-0.5926 -2.4065 -1.0710
2.9756 0.6238 -3.0480
10.7165 -6.6040 9.1104
Ga V Na W Re
2 2 2 2 2
Direct
0.5265 0.5000 0.3477
0.5265 0.0000 0.8477
0.0967 0.5000 0.9286
0.0967 0.0000 0.4286
0.9764 0.0000 0.2210
0.9764 0.5000 0.7210
0.7307 0.0000 0.0161
0.7307 0.5000 0.5161
0.3625 0.5000 0.0796
0.3625 0.0000 0.5796
```

# NaVGaReW

A relaxed NaVGaReW crystal (GGA-PBE, Alexandria).

Calculated values
DOS(E_F) = 8.71 states/eV per cell
E_form = 0.47 eV/atom
Energy relative to the lowest polymorph listed for this composition = 190 meV per atom

POSCAR file:
```
NaVGaReW
1.0
3.0725 0.0000 -0.0298
0.0000 12.9262 0.0000
-3.0278 0.0000 4.4967
Ga Na Re V W
2 2 2 2 2
Direct
0.0000 0.1760 0.5000
0.0000 0.6760 0.0000
0.0000 0.7692 0.5000
0.0000 0.2692 0.0000
0.5000 0.5479 0.5000
0.5000 0.0479 0.0000
0.5000 0.0026 0.5000
0.5000 0.5026 0.0000
0.0000 0.8996 0.0000
0.0000 0.3996 0.5000
```

# NaVGaReW

A relaxed NaVGaReW crystal (GGA-PBE, Alexandria).

Calculated values
DOS(E_F) = 6.06 states/eV per cell
E_form = 0.28 eV/atom
Energy relative to the lowest polymorph listed for this composition = 8 meV per atom

POSCAR file:
```
NaVGaReW
1.0
2.7069 0.0000 -0.0016
0.0000 4.2605 0.0000
-0.4515 0.0000 15.5230
Ga V Na W Re
2 2 2 2 2
Direct
0.5335 0.0000 0.1534
0.5335 0.5000 0.6534
0.9775 0.0000 0.5712
0.9775 0.5000 0.0712
0.0895 0.0000 0.7775
0.0895 0.5000 0.2775
0.6918 0.5000 0.9189
0.6918 0.0000 0.4189
0.3384 0.5000 0.4859
0.3384 0.0000 0.9859
```

# NaGaReW2

A relaxed NaGaReW2 crystal (GGA-PBE, Alexandria).

Calculated values
DOS(E_F) = 4.64 states/eV per cell
E_form = 2.98 eV/atom

POSCAR file:
```
NaGaReW2
1.0
-2.5702 -3.6912 -0.2263
3.3768 -2.2264 -2.0368
1.5489 -1.3247 4.0160
Re Na W Ga
1 1 2 1
Direct
0.0000 0.5000 0.0000
0.0000 0.0000 0.0000
0.5000 0.0000 0.0000
0.0000 0.0000 0.5000
0.5000 0.5000 0.5000
```

# Na2GaRh2

A relaxed Na2GaRh2 crystal (GGA-PBE, Alexandria).

Calculated values
DOS(E_F) = 7.32 states/eV per cell
E_form = -0.07 eV/atom

POSCAR file:
```
Na2GaRh2
1.0
-2.0602 0.9199 5.8835
4.8380 -3.3715 2.2212
2.6889 4.0605 0.3066
Rh Ga Na
4 2 4
Direct
0.8600 0.6400 0.0000
0.6400 0.1400 0.0000
0.3600 0.8600 0.0000
0.1400 0.3600 0.0000
0.5000 0.5000 0.0000
0.0000 0.0000 0.0000
0.6705 0.8295 0.5000
0.1705 0.6705 0.5000
0.3295 0.1705 0.5000
0.8295 0.3295 0.5000
```

# Na2Ga6Rh

A relaxed Na2Ga6Rh crystal (GGA-PBE, Alexandria).

Calculated values
DOS(E_F) = 3.59 states/eV per cell
E_form = -0.22 eV/atom

POSCAR file:
```
Na2Ga6Rh
1.0
6.1677 -0.0291 -0.0168
0.0334 5.6491 0.0083
0.0334 2.8217 4.8940
Ga Na Rh
6 2 1
Direct
0.6790 0.1692 0.1692
0.6793 0.1693 0.6618
0.3207 0.3382 0.8307
0.6793 0.6618 0.1693
0.3210 0.8308 0.8308
0.3207 0.8307 0.3382
0.1122 0.3333 0.3333
0.8878 0.6667 0.6667
0.0000 0.0000 0.0000
```

# NaGa7Rh2

A relaxed NaGa7Rh2 crystal (GGA-PBE, Alexandria).

Calculated values
DOS(E_F) = 6.22 states/eV per cell
E_form = -0.24 eV/atom

POSCAR file:
```
NaGa7Rh2
1.0
-1.1534 3.6469 -2.8353
-3.4449 -4.2830 -4.1076
-4.8298 1.9465 4.4685
Ga Rh Na
7 2 1
Direct
0.5000 0.0976 0.3421
0.0000 0.7106 0.2894
0.5000 0.5000 0.5000
0.5000 0.6579 0.9024
0.5000 0.3421 0.0976
0.0000 0.2894 0.7106
0.5000 0.9024 0.6579
0.5000 0.2738 0.7262
0.5000 0.7262 0.2738
0.0000 0.0000 0.0000
```

# Na2Ga2Rh

A relaxed Na2Ga2Rh crystal (GGA-PBE, Alexandria).

Calculated values
DOS(E_F) = 6.38 states/eV per cell
E_form = 0.41 eV/atom
Energy relative to the lowest polymorph listed for this composition = 548 meV per atom

POSCAR file:
```
Na2Ga2Rh
1.0
3.5904 0.0000 0.0000
0.0000 3.5904 0.0000
1.7952 1.7952 8.9618
Na Ga Rh
2 2 1
Direct
0.5923 0.5923 0.8153
0.4077 0.4077 0.1847
0.7500 0.2500 0.5000
0.2500 0.7500 0.5000
0.0000 0.0000 0.0000
```

# Na2Ga2Rh

A relaxed Na2Ga2Rh crystal (GGA-PBE, Alexandria).

Calculated values
DOS(E_F) = 5.66 states/eV per cell
E_form = 0.43 eV/atom
Energy relative to the lowest polymorph listed for this composition = 568 meV per atom

POSCAR file:
```
Na2Ga2Rh
1.0
7.7366 0.0000 0.0000
0.0000 7.7366 0.0000
0.0000 0.0000 3.1597
Rh Ga Na
2 4 4
Direct
0.5000 0.5000 0.0000
0.0000 0.0000 0.0000
0.8266 0.3266 0.5000
0.3266 0.1734 0.5000
0.6734 0.8266 0.5000
0.1734 0.6734 0.5000
0.3708 0.8708 0.0000
0.1292 0.3708 0.0000
0.6292 0.1292 0.0000
0.8708 0.6292 0.0000
```

# Na2Ga9Rh3

A relaxed Na2Ga9Rh3 crystal (GGA-PBE, Alexandria).

Calculated values
DOS(E_F) = 7.28 states/eV per cell
E_form = -0.41 eV/atom

POSCAR file:
```
Na2Ga9Rh3
1.0
-3.1088 -6.5824 -1.8318
1.3229 1.7030 7.1901
-7.2431 7.9377 -0.3843
Ga Rh Na
18 6 4
Direct
0.4590 0.6499 0.9294
0.7858 0.3061 0.9278
0.2205 0.5296 0.5706
0.5410 0.3501 0.0706
0.2142 0.6939 0.0722
0.8857 0.1357 0.7500
0.7795 0.4704 0.4294
0.6706 0.7063 0.7508
0.4555 0.9198 0.7492
0.1143 0.8643 0.2500
0.4553 0.8158 0.4337
0.5447 0.1842 0.5663
0.3294 0.2937 0.2492
0.1217 0.1420 0.4278
0.8783 0.8580 0.5722
0.8821 0.0215 0.0663
0.1179 0.9785 0.9337
0.5445 0.0802 0.2508
0.5000 0.0000 0.0000
0.5000 0.5000 0.5000
0.8257 0.6511 0.0004
0.1743 0.3489 0.9996
0.8493 0.1747 0.5004
0.1507 0.8253 0.4996
0.6636 0.7487 0.2502
0.3364 0.2513 0.7498
0.9985 0.4135 0.2498
0.0015 0.5865 0.7502
```

# Na2Ga2Rh

A relaxed Na2Ga2Rh crystal (GGA-PBE, Alexandria).

Calculated values
DOS(E_F) = 6.69 states/eV per cell
E_form = -0.14 eV/atom
Energy relative to the lowest polymorph listed for this composition = 0 meV per atom

POSCAR file:
```
Na2Ga2Rh
1.0
6.5000 0.0000 0.0000
0.0000 6.5000 0.0000
0.0000 0.0000 5.0856
Na Ga Rh
4 4 2
Direct
0.3195 0.1805 0.5000
0.6805 0.8195 0.5000
0.8195 0.3195 0.5000
0.1805 0.6805 0.5000
0.8475 0.6525 0.0000
0.1525 0.3475 0.0000
0.3475 0.8475 0.0000
0.6525 0.1525 0.0000
0.5000 0.5000 0.0000
0.0000 0.0000 0.0000
```

# Na3GaRh

A relaxed Na3GaRh crystal (GGA-PBE, Alexandria).

Calculated values
DOS(E_F) = 3.48 states/eV per cell
E_form = 0.60 eV/atom
Energy relative to the lowest polymorph listed for this composition = 0 meV per atom

POSCAR file:
```
Na3GaRh
1.0
-1.9573 -4.2951 -2.4545
1.0239 -2.9342 4.3180
-4.8398 1.1162 1.9061
Rh Ga Na
1 1 3
Direct
0.0000 0.0000 0.0000
0.5000 0.5000 0.5000
0.0000 0.5000 0.0000
0.5000 0.0000 0.0000
0.0000 0.0000 0.5000
```

# NaGaRh2

A relaxed NaGaRh2 crystal (GGA-PBE, Alexandria).

Calculated values
DOS(E_F) = 4.97 states/eV per cell
E_form = -0.16 eV/atom

POSCAR file:
```
NaGaRh2
1.0
3.0400 0.0000 0.0000
0.0000 3.0400 0.0000
0.0000 0.0000 6.9657
Rh Na Ga
2 1 1
Direct
0.0000 0.0000 0.7969
0.0000 0.0000 0.2031
0.5000 0.5000 0.5000
0.5000 0.5000 0.0000
```